A plane-wave DFT calculation with meta-GGA SCAN was carried out for Zn2CdSi at its PBEsol-relaxed geometry.

Unit cell a=2.867 b=2.867 c=7.940 alpha=90.00 beta=90.00 gamma=90.00
Space group P4mm (No. 99)
Unique sites:
Zn 0.000 0.000 0.000
Zn 0.500 0.500 0.220
Cd 0.000 0.000 0.482
Si 0.500 0.500 0.767

Computed properties:
Calculated total energy (eV per atom): -16.559
Volume (Å³/cell): 65.3
Fermi-level density of states (states/eV/cell): 1.384
Formation energy (no corrections) (eV per atom): 0.3059